Record 1
BeP2SF | PBEsol | optimized geometry

Computed properties:
The raw formation energy comes out at 20.76 kcal/mol of atoms. As for the space-group type: No. 123.

```
5
Lattice="3.898 0.000 0.000 0.000 3.898 0.000 0.000 0.000 5.295" Properties=species:S:1:pos:R:3 pbc="T T T"
Be 0.000 0.000 0.000
P 0.000 1.949 2.647
P 1.949 0.000 2.647
S 1.949 1.949 0.000
F 1.949 1.949 2.647
```

=====

Record 2
CaNiBr | PBEsol | optimized geometry

Computed properties:
The raw formation energy comes out at -0.95 kcal/mol of atoms. As for the space-group type: No. 216.

```
3
Lattice="0.000 3.360 3.360 3.360 0.000 3.360 3.360 3.360 0.000" Properties=species:S:1:pos:R:3 pbc="T T T"
Ca 0.000 0.000 0.000
Ni 5.040 5.040 5.040
Br 1.680 1.680 1.680
```

=====

Record 3
YTaMo2 | PBEsol | optimized geometry

Computed properties:
Its energy of formation is 0.3383 eV/atom. As for the space-group type: No. 10.

```
4
Lattice="2.889 0.000 0.000 0.000 4.397 0.000 -0.897 0.000 5.762" Properties=species:S:1:pos:R:3 pbc="T T T"
Y 0.000 0.000 0.000
Ta 0.996 0.000 2.881
Mo 0.095 2.198 4.148
Mo 1.897 2.198 1.615
```

=====

Record 4
SrY2Sc | PBEsol | optimized geometry

Computed properties:
Its energy of formation is 0.3056 eV/atom. As for the space-group type: No. 123.

```
4
Lattice="5.666 0.000 0.000 0.000 5.666 0.000 0.000 0.000 3.965" Properties=species:S:1:pos:R:3 pbc="T T T"
Sr 0.000 0.000 0.000
Y 0.000 2.833 1.982
Y 2.833 0.000 1.982
Sc 2.833 2.833 0.000
```

=====

Number 1: N(E_F) 0.714 states/eV/atom. Number 2: N(E_F) 1.662 states/eV/atom. Number 3: N(E_F) 1.018 states/eV/atom. Number 4: N(E_F) 2.132 states/eV/atom.